Density functional theory data (PBE) for a geometry-optimized YGaI3 structure.

Properties
Total magnetization, Bohr magnetons per cell: 0.872
V, Å³ per cell: 218.6
Symmetry: Pm-3m
ΔE_f (raw), eV/atom: -0.65
DOS(E_F), states/eV/atom: 1.01

a b c (Å): 6.024 6.024 6.024
angles (deg): 90.00 90.00 90.00
Last column: magnetic moment on the atom in μB.
Sites, in units of the cell vectors:
1 I 0.000 0.500 0.000  0.00
2 I 0.000 0.000 0.500  0.00
3 I 0.500 0.000 0.000  -0.01
4 Y 0.000 0.000 0.000  0.23
5 Ga 0.500 0.500 0.500  0.13

***

Density functional theory data (PBE) for a geometry-optimized La5Ru2Pt2 structure.

Properties
Total magnetization, Bohr magnetons per cell: 0.000
V, Å³ per cell: 462.4
Symmetry: Cmce
Electronic total energy, hartree per atom: -0.249
DOS(E_F), states/eV/atom: 0.77

a b c (Å): 7.849 7.798 8.513
angles (deg): 90.00 62.55 90.00
Sites, in units of the cell vectors:
1 La 0.000 0.000 0.000
2 La 0.500 0.500 0.000
3 La 0.461 0.167 0.734
4 La 0.805 0.833 0.734
5 La 0.305 0.667 0.734
6 La 0.961 0.333 0.734
7 La 0.539 0.833 0.266
8 La 0.195 0.167 0.266
9 La 0.695 0.333 0.266
10 La 0.039 0.667 0.266
11 Ru 0.135 0.367 0.000
12 Ru 0.865 0.633 0.000
13 Ru 0.365 0.867 0.000
14 Ru 0.635 0.133 0.000
15 Pt 0.206 0.000 0.587
16 Pt 0.706 0.500 0.587
17 Pt 0.794 0.000 0.413
18 Pt 0.294 0.500 0.413

***

Density functional theory data (PBE) for a geometry-optimized Pa2Be2GeRu5 structure.

Properties
Total magnetization, Bohr magnetons per cell: 0.000
V, Å³ per cell: 299.7
Symmetry: P4/mbm
Electronic total energy, hartree per atom: -0.305
DOS(E_F), states/eV/atom: 0.47

a b c (Å): 3.285 9.551 9.551
angles (deg): 90.00 90.00 90.00
Sites, in units of the cell vectors:
1 Pa 0.000 0.675 0.175
2 Pa 0.000 0.325 0.825
3 Pa 0.000 0.175 0.325
4 Pa 0.000 0.825 0.675
5 Be 0.000 0.122 0.622
6 Be 0.000 0.878 0.378
7 Be 0.000 0.622 0.878
8 Be 0.000 0.378 0.122
9 Ge 0.000 0.000 0.000
10 Ge 0.000 0.500 0.500
11 Ru 0.500 0.209 0.075
12 Ru 0.500 0.791 0.925
13 Ru 0.500 0.075 0.791
14 Ru 0.500 0.709 0.425
15 Ru 0.500 0.925 0.209
16 Ru 0.500 0.291 0.575
17 Ru 0.500 0.575 0.709
18 Ru 0.500 0.425 0.291
19 Ru 0.500 0.500 0.000
20 Ru 0.500 0.000 0.500

***

Density functional theory data (PBE) for a geometry-optimized AlHgPt2 structure.

Properties
Total magnetization, Bohr magnetons per cell: 0.000
V, Å³ per cell: 67.7
Symmetry: R-3m
Electronic total energy, hartree per atom: -0.166
DOS(E_F), states/eV/atom: 0.71

a b c (Å): 9.020 9.020 9.020
angles (deg): 18.97 18.97 18.97
Sites, in units of the cell vectors:
1 Hg 0.750 0.750 0.750
2 Pt 0.988 0.988 0.988
3 Pt 0.512 0.512 0.512
4 Al 0.250 0.250 0.250

***

Density functional theory data (PBE) for a geometry-optimized AcMgZnAg structure.

Properties
Total magnetization, Bohr magnetons per cell: 0.000
V, Å³ per cell: 102.2
Symmetry: Cm
Electronic total energy, hartree per atom: -0.099
DOS(E_F), states/eV/atom: 0.75

a b c (Å): 4.864 4.865 5.728
angles (deg): 115.24 90.00 120.00
Sites, in units of the cell vectors:
1 Ac 0.618 0.236 0.496
2 Mg 0.119 0.237 0.997
3 Zn 0.401 0.802 0.846
4 Ag 0.829 0.658 0.128

***

Density functional theory data (PBE) for a geometry-optimized DyHoAg2 structure.

Properties
Total magnetization, Bohr magnetons per cell: 0.000
V, Å³ per cell: 95.6
Symmetry: P4/mmm
Electronic total energy, hartree per atom: -0.149
DOS(E_F), states/eV/atom: 0.58

a b c (Å): 3.602 5.151 5.151
angles (deg): 90.00 90.00 90.00
Sites, in units of the cell vectors:
1 Ho 0.500 0.500 0.500
2 Ag 0.000 0.000 0.500
3 Ag 0.000 0.500 0.000
4 Dy 0.500 0.000 0.000

***

Density functional theory data (PBE) for a geometry-optimized AcLa3Tb3 structure.

Properties
Total magnetization, Bohr magnetons per cell: 0.000
V, Å³ per cell: 508.9
Symmetry: P6_3/m
Electronic total energy, hartree per atom: -0.170
DOS(E_F), states/eV/atom: 1.80

a b c (Å): 5.958 9.931 9.931
angles (deg): 120.00 90.00 90.00
Sites, in units of the cell vectors:
1 Ac 0.250 0.667 0.333
2 Ac 0.750 0.333 0.667
3 La 0.750 0.628 0.534
4 La 0.750 0.466 0.093
5 La 0.750 0.907 0.372
6 La 0.250 0.372 0.466
7 La 0.250 0.534 0.907
8 La 0.250 0.093 0.628
9 Tb 0.250 0.816 0.772
10 Tb 0.250 0.228 0.043
11 Tb 0.250 0.957 0.184
12 Tb 0.750 0.184 0.228
13 Tb 0.750 0.772 0.957
14 Tb 0.750 0.043 0.816

***

Density functional theory data (PBE) for a geometry-optimized Y2ScRhN structure.

Properties
Total magnetization, Bohr magnetons per cell: 0.000
V, Å³ per cell: 97.7
Symmetry: P4/mmm
ΔE_f (raw), eV/atom: -0.95
DOS(E_F), states/eV/atom: 0.86

a b c (Å): 4.822 4.822 4.203
angles (deg): 90.00 90.00 90.00
Sites, in units of the cell vectors:
1 Y 0.000 0.500 0.000
2 Y 0.500 0.000 0.000
3 Sc 0.000 0.000 0.500
4 Rh 0.500 0.500 0.500
5 N 0.000 0.000 0.000

***

Density functional theory data (PBE) for a geometry-optimized ErPaTlPd structure.

Properties
Total magnetization, Bohr magnetons per cell: 1.189
V, Å³ per cell: 97.7
Symmetry: F-43m
Electronic total energy, hartree per atom: -0.204
DOS(E_F), states/eV/atom: 1.89

a b c (Å): 5.169 5.169 5.169
angles (deg): 60.00 60.00 60.00
Last column: magnetic moment on the atom in μB.
Sites, in units of the cell vectors:
1 Tl 0.750 0.750 0.750  -0.01
2 Pa 0.500 0.500 0.500  0.83
3 Pd 0.250 0.250 0.250  -0.03
4 Er 0.000 0.000 0.000  0.18

***

Density functional theory data (PBE) for a geometry-optimized Dy5CN4 structure.

Properties
Total magnetization, Bohr magnetons per cell: 0.002
V, Å³ per cell: 151.2
Symmetry: I4/m
ΔE_f (raw), eV/atom: -1.33
DOS(E_F), states/eV/atom: 0.49

a b c (Å): 4.923 6.064 6.064
angles (deg): 80.52 66.05 66.05
Sites, in units of the cell vectors:
1 Dy 0.897 0.409 0.799
2 Dy 0.306 0.799 0.591
3 Dy 0.696 0.201 0.409
4 Dy 0.105 0.591 0.201
5 Dy 0.501 0.000 0.000
6 C 0.001 0.000 0.000
7 N 0.402 0.401 0.798
8 N 0.802 0.798 0.599
9 N 0.200 0.202 0.401
10 N 0.600 0.599 0.202

***

Density functional theory data (PBE) for a geometry-optimized Ti4Rh structure.

Properties
Total magnetization, Bohr magnetons per cell: 0.003
V, Å³ per cell: 102.6
Symmetry: Pm-3m
Electronic total energy, hartree per atom: -0.269
DOS(E_F), states/eV/atom: 1.40

a b c (Å): 4.681 4.681 4.681
angles (deg): 90.00 90.00 90.00
Sites, in units of the cell vectors:
1 Rh 0.500 0.500 0.500
2 Ti 0.000 0.000 0.000
3 Ti 0.500 0.000 0.500
4 Ti 0.000 0.500 0.500
5 Ti 0.500 0.500 0.000

***

Density functional theory data (PBE) for a geometry-optimized CoCuTe6 structure.

Properties
Total magnetization, Bohr magnetons per cell: 0.000
V, Å³ per cell: 198.6
Symmetry: P-1
ΔE_f (raw), eV/atom: 0.00
DOS(E_F), states/eV/atom: 0.56

a b c (Å): 6.606 6.619 6.511
angles (deg): 58.98 59.26 60.01
Sites, in units of the cell vectors:
1 Co 0.000 0.000 0.000
2 Cu 0.500 0.500 0.500
3 Te 0.049 0.431 0.746
4 Te 0.768 0.049 0.753
5 Te 0.573 0.225 0.255
6 Te 0.232 0.951 0.247
7 Te 0.951 0.569 0.254
8 Te 0.427 0.775 0.745